# 1
Compound: Fe2CuIr2
Source: Alexandria via LeMat-Bulk
Functional: PBE
Structure: optimized geometry

Properties
raw total energy: -75.1 eV/cell
energy above the lowest structure with this stoichiometry: 0.0 meV/atom
crystal system: tetragonal
Fermi-level density of states: 6.51 states/eV/f.u.
energy of formation: 0.24 eV per atom

Cell lengths 7.1482, 7.1482, 2.6630 Å; angles 90.00, 90.00, 90.00 degrees
Site moments in Bohr magnetons follow the coordinates.
Element x y z (fractional)
Fe1 0.1185 0.3815 0.0000  1.81
Fe2 0.8815 0.6185 0.0000  1.81
Fe3 0.6185 0.1185 0.0000  1.80
Fe4 0.3815 0.8815 0.0000  1.80
Ir1 0.8255 0.3255 0.5000  0.18
Ir2 0.3255 0.1745 0.5000  0.18
Ir3 0.6745 0.8255 0.5000  0.18
Ir4 0.1745 0.6745 0.5000  0.18
Cu1 0.5000 0.5000 0.0000  0.06
Cu2 0.0000 0.0000 0.0000  0.06

---

# 2
Compound: Fe2CuIr
Source: Alexandria via LeMat-Bulk
Functional: PBE
Structure: optimized geometry

Properties
raw total energy: -29.7 eV/cell
crystal system: monoclinic
Fermi-level density of states: 3.34 states/eV/f.u.
energy of formation: 0.05 eV per atom

Cell lengths 4.5281, 4.5281, 4.4874 Å; angles 78.12, 78.12, 34.52 degrees
Site moments in Bohr magnetons follow the coordinates.
Element x y z (fractional)
Fe1 0.7473 0.7473 0.7483  2.69
Fe2 0.0036 0.0036 0.0052  2.57
Ir1 0.4968 0.4968 0.5070  0.28
Cu1 0.2523 0.2523 0.2395  0.12

---

# 3
Compound: FeCuIr2
Source: Alexandria via LeMat-Bulk
Functional: PBE
Structure: optimized geometry

Properties
raw total energy: -29.7 eV/cell
energy above the lowest structure with this stoichiometry: 147.0 meV/atom
crystal system: orthorhombic
Fermi-level density of states: 4.62 states/eV/f.u.
energy of formation: 0.16 eV per atom

Cell lengths 5.0486, 5.0486, 5.0486 Å; angles 147.16, 129.60, 61.47 degrees
Site moments in Bohr magnetons follow the coordinates.
Element x y z (fractional)
Ir1 0.7454 0.2454 0.5000  0.06
Ir2 0.0090 0.0090 0.0000  0.01
Cu1 0.4910 0.4910 0.0000  -0.01
Fe1 0.2546 0.7546 0.5000  2.58

---

# 4
Compound: FeCuIr2
Source: Alexandria via LeMat-Bulk
Functional: PBE
Structure: optimized geometry

Properties
raw total energy: -30.0 eV/cell
energy above the lowest structure with this stoichiometry: 49.1 meV/atom
crystal system: monoclinic
Fermi-level density of states: 4.15 states/eV/f.u.
energy of formation: 0.06 eV per atom

Cell lengths 3.8103, 2.6898, 5.8678 Å; angles 62.81, 90.00, 90.00 degrees
Site moments in Bohr magnetons follow the coordinates.
Element x y z (fractional)
Cu1 0.0000 0.4959 0.5050  0.02
Ir1 0.0000 0.0031 0.9960  -0.04
Ir2 0.5000 0.2463 0.2536  -0.11
Fe1 0.5000 0.7547 0.7454  2.56

---

> Among the records above, which one has the highest energy of formation?

Fe2CuIr2

---

> Look up the energy of formation of the third one.

0.16 eV per atom

---

> Look up the raw total energy of the second one.

-29.7 eV/cell